(1)
! PBEsol Si2Hg, relaxed; values from VASP
! * energy: -20.51 eV per cell
! * total moment: 0.00 μB/atom
! * mass density: 6.3 g/cm3
! * space-group type: P6_3/mmc (194)
! * ΔE_f (raw): 58.1 kJ per mole of atoms
! * N(E_F): 1.76 states/eV/cell
&SYSTEM
  ibrav = 0, nat = 6, ntyp = 2
/
ATOMIC_SPECIES
Si 28.09 Si.upf
Hg 200.59 Hg.upf
CELL_PARAMETERS angstrom
4.0704 0.0000 0.0000
-2.0352 3.5250 0.0000
0.0000 0.0000 9.4900
ATOMIC_POSITIONS crystal
Si 0.0000 0.0000 0.1233
Si 0.0000 0.0000 0.3767
Si 0.0000 0.0000 0.6233
Si 0.0000 0.0000 0.8767
Hg 0.3333 0.6667 0.2500
Hg 0.6667 0.3333 0.7500

***

(2)
! PBEsol Si2Hg, relaxed; values from VASP
! * energy: -22.44 eV per cell
! * total moment: 0.00 μB/atom
! * mass density: 7.9 g/cm3
! * space-group type: Cmcm (63)
! * ΔE_f (raw): 27.0 kJ per mole of atoms
! * N(E_F): 2.51 states/eV/cell
&SYSTEM
  ibrav = 0, nat = 6, ntyp = 2
/
ATOMIC_SPECIES
Si 28.09 Si.upf
Hg 200.59 Hg.upf
CELL_PARAMETERS angstrom
1.4479 -10.9575 0.0000
1.4479 10.9575 0.0000
0.0000 0.0000 3.3868
ATOMIC_POSITIONS crystal
Si 0.0424 0.9576 0.7500
Si 0.4015 0.5985 0.7500
Si 0.5985 0.4015 0.2500
Si 0.9576 0.0424 0.2500
Hg 0.3008 0.6992 0.2500
Hg 0.6992 0.3008 0.7500

***

(3)
! PBEsol SiHg2, relaxed; values from VASP
! * energy: -5.77 eV per cell
! * total moment: 0.00 μB/atom
! * mass density: 10.9 g/cm3
! * space-group type: P-6m2 (187)
! * ΔE_f (raw): 35.7 kJ per mole of atoms
! * N(E_F): 1.40 states/eV/cell
&SYSTEM
  ibrav = 0, nat = 3, ntyp = 2
/
ATOMIC_SPECIES
Si 28.09 Si.upf
Hg 200.59 Hg.upf
CELL_PARAMETERS angstrom
3.3426 0.0000 0.0000
-1.6713 2.8947 0.0000
0.0000 0.0000 6.7296
ATOMIC_POSITIONS crystal
Si 0.0000 0.0000 0.0000
Hg 0.3333 0.6667 0.2979
Hg 0.3333 0.6667 0.7021

***

(4)
! PBEsol SiHg2, relaxed; values from VASP
! * energy: -11.55 eV per cell
! * total moment: 0.00 μB/atom
! * mass density: 10.8 g/cm3
! * space-group type: P4/nmm (129)
! * ΔE_f (raw): 35.6 kJ per mole of atoms
! * N(E_F): 1.97 states/eV/cell
&SYSTEM
  ibrav = 0, nat = 6, ntyp = 2
/
ATOMIC_SPECIES
Si 28.09 Si.upf
Hg 200.59 Hg.upf
CELL_PARAMETERS angstrom
4.6007 0.0000 0.0000
0.0000 4.6007 0.0000
0.0000 0.0000 6.2418
ATOMIC_POSITIONS crystal
Si 0.2500 0.2500 0.2413
Si 0.7500 0.7500 0.7587
Hg 0.2500 0.2500 0.6462
Hg 0.2500 0.7500 0.0000
Hg 0.7500 0.2500 0.0000
Hg 0.7500 0.7500 0.3538

***

(5)
! PBEsol Si5Hg, relaxed; values from VASP
! * energy: -27.40 eV per cell
! * total moment: 0.00 μB/atom
! * mass density: 5.4 g/cm3
! * space-group type: Amm2 (38)
! * ΔE_f (raw): 30.5 kJ per mole of atoms
! * N(E_F): 2.50 states/eV/cell
&SYSTEM
  ibrav = 0, nat = 6, ntyp = 2
/
ATOMIC_SPECIES
Si 28.09 Si.upf
Hg 200.59 Hg.upf
CELL_PARAMETERS angstrom
5.0793 0.0000 0.0000
0.0000 1.8394 5.5633
0.0000 -1.8394 5.5633
ATOMIC_POSITIONS crystal
Si 0.0000 0.0000 0.0000
Si 0.0000 0.3166 0.3166
Si 0.0000 0.6584 0.6584
Si 0.5000 0.3408 0.3408
Si 0.5000 0.9744 0.9744
Hg 0.5000 0.6575 0.6575

***

(6)
! PBEsol Sr2SiHg2, relaxed; values from VASP
! * energy: -11.72 eV per cell
! * total moment: 0.00 μB/atom
! * mass density: 6.7 g/cm3
! * space-group type: I4/mmm (139)
! * ΔE_f (raw): -22.4 kJ per mole of atoms
! * N(E_F): 3.00 states/eV/cell
&SYSTEM
  ibrav = 0, nat = 5, ntyp = 3
/
ATOMIC_SPECIES
Sr 87.62 Sr.upf
Si 28.09 Si.upf
Hg 200.59 Hg.upf
CELL_PARAMETERS angstrom
-1.9890 1.9890 9.4150
1.9890 -1.9890 9.4150
1.9890 1.9890 -9.4150
ATOMIC_POSITIONS crystal
Sr 0.0945 0.0945 0.0000
Sr 0.9055 0.9055 0.0000
Si 0.5000 0.5000 0.0000
Hg 0.2500 0.7500 0.5000
Hg 0.7500 0.2500 0.5000